# 1
Material: Tb5Er5Tl
Method: DFT, PBE-GGA
State: relaxed

a b c (Å): 6.070 6.070 11.211
angles (deg): 90.00 90.00 120.00
Fractional positions:
Tb: 0.000 0.000 0.000
Tb: 0.333 0.667 0.293
Tb: 0.333 0.667 0.707
Tb: 0.667 0.333 0.190
Tb: 0.667 0.333 0.810
Er: 0.000 0.000 0.268
Er: 0.000 0.000 0.732
Er: 0.338 0.169 0.500
Er: 0.831 0.169 0.500
Er: 0.831 0.662 0.500
Tl: 0.333 0.667 0.000

Properties
The calculation puts the density of states at the Fermi level at 1.8364 states/eV/atom. The energy of formation is 0.312 eV per atom. The value obtained for the total energy is -44.90 eV for the cell shown. Its crystal system is hexagonal. The value obtained for the mass density is 8.5 g cm⁻³.


# 2
Material: LiPuAs2
Method: DFT, PBE-GGA
State: relaxed

a b c (Å): 5.327 5.327 5.327
angles (deg): 49.65 49.65 49.65
Fractional positions:
Li: 0.000 0.000 0.000
Pu: 0.500 0.500 0.500
As: 0.258 0.258 0.258
As: 0.742 0.742 0.742

Properties
The calculation puts the density of states at the Fermi level at 2.3796 states/eV/atom. The energy of formation is -0.626 eV per atom. The value obtained for the total energy is -28.05 eV for the cell shown. Its crystal system is trigonal. The value obtained for the mass density is 8.2 g cm⁻³.


# 3
Material: Dy2YHg2
Method: DFT, PBE-GGA
State: relaxed

a b c (Å): 3.749 5.293 13.733
angles (deg): 90.00 97.89 90.00
Fractional positions:
Dy: 0.047 0.250 0.095
Dy: 0.235 0.250 0.471
Dy: 0.765 0.750 0.529
Dy: 0.953 0.750 0.905
Y: 0.146 0.750 0.292
Y: 0.854 0.250 0.708
Hg: 0.356 0.750 0.712
Hg: 0.453 0.250 0.905
Hg: 0.547 0.750 0.095
Hg: 0.644 0.250 0.288

Properties
The calculation puts the density of states at the Fermi level at 0.9241 states/eV/atom. The energy of formation is -0.398 eV per atom. The value obtained for the total energy is -36.53 eV for the cell shown. Its crystal system is monoclinic. The value obtained for the mass density is 10.0 g cm⁻³.